Compound: CoSb3
Source: the Alexandria database
Functional: PBE-GGA
Structure: optimized geometry

For the offset from the most stable computed form, the calculation gives 0.632 eV/atom. For the uncorrected formation energy, the calculation gives 442 meV per atom.

It has space group R-3m (No. 166, hexagonal axes), with a = 8.2098 Å, b = 8.2098 Å, c = 5.0145 Å, α = 90.00°, β = 90.00° and γ = 120.00°. The asymmetric unit holds Co at (0.0000, 0.0000, 0.0000) and Sb at (0.0000, 0.5000, 0.0000).

Compound: La2Nd3Dy6
Source: the Alexandria database
Functional: PBE-GGA
Structure: optimized geometry

The value obtained for the formation energy from the elements is 0.18 eV per atom. For the offset from the most stable computed form, the calculation gives 0.000 eV/atom.

It has space group C2/m (No. 12), with a = 6.2599 Å, b = 10.6787 Å, c = 11.7629 Å, α = 90.00°, β = 98.64° and γ = 90.00°. The asymmetric unit holds La at (0.0000, 0.1760, 0.0000), Nd at (0.0000, 0.0000, 0.5000), Nd at (0.0000, 0.3360, 0.5000), Dy at (0.2398, 0.5000, 0.7513) and Dy at (0.2406, 0.1668, 0.7471).